TaVO4 GGA+U relaxed; DFT total energy = -109.0 eV for the cell shown; SG = C2/m
1.0
6.3971 -1.9407 0.0000
6.3971 1.9407 0.0000
-2.0476 0.0000 6.4379
Ta V O
2 2 8
direct
0.1031 0.1031 0.2226
0.8969 0.8969 0.7774
0.1992 0.1992 0.8081
0.8008 0.8008 0.1919
0.0532 0.0532 0.8660
0.1389 0.1389 0.5068
0.2540 0.2540 0.1420
0.3659 0.3659 0.7968
0.6341 0.6341 0.2032
0.7460 0.7460 0.8580
0.8611 0.8611 0.4932
0.9468 0.9468 0.1340